This record from the Alexandria database describes Zr5Zn3Hg3 after structural relaxation. The functional is PBE.

Unit cell a=9.6609 b=9.6609 c=2.8868 alpha=90.00 beta=90.00 gamma=120.00
Last column: nearest neighbours and their distance in Å.
Atoms (fractional coordinates):
Zr 0.0000 0.3340 0.0000  2 Zn 2.80, 2 Zr 2.89, 2 Hg 3.03
Zr 0.3333 0.6667 0.0000  5 Zr 2.89-3.22
Zr 0.3340 0.0000 0.0000  2 Zn 2.80, 2 Zr 2.89, 2 Hg 3.03
Zr 0.6660 0.6660 0.0000  2 Zn 2.80, 2 Zr 2.89, 2 Hg 3.03
Zr 0.6667 0.3333 0.0000  5 Zr 2.89-3.22
Zn 0.0000 0.8514 0.0000  2 Zn 2.49, 2 Hg 2.74
Zn 0.1486 0.1486 0.0000  2 Zn 2.49, 2 Hg 2.74
Zn 0.8514 0.0000 0.0000  2 Zn 2.49, 2 Hg 2.74
Hg 0.0000 0.6102 0.5000  2 Zn 2.74, 2 Hg 2.89, 2 Zr 3.03
Hg 0.3898 0.3898 0.5000  2 Zn 2.74, 2 Hg 2.89, 2 Zr 3.03
Hg 0.6102 0.0000 0.5000  2 Zn 2.74, 2 Hg 2.89, 2 Zr 3.03

ΔE_f = 19.6 kJ/mol of atoms
Magnetization = 0.00 μB per formula unit

This record from the Alexandria database describes Zr2ZnHg after structural relaxation. The functional is PBE.

Unit cell a=5.1564 b=5.1564 c=3.2325 alpha=90.00 beta=90.00 gamma=109.58
Last column: nearest neighbours and their distance in Å.
Atoms (fractional coordinates):
Zr 0.0000 0.5000 0.0000  4 Zr 2.97-3.23, 4 Hg 3.04, 4 Zn 3.04
Zr 0.5000 0.0000 0.0000  4 Zr 2.97-3.23, 4 Hg 3.04, 4 Zn 3.04
Zn 0.0000 0.0000 0.5000  2 Hg 2.97, 8 Zr 3.04, 2 Zn 3.23
Hg 0.5000 0.5000 0.5000  2 Zn 2.97, 8 Zr 3.04, 2 Hg 3.23

Energy above the lowest structure with this stoichiometry = 0.023 eV per atom
ΔE_f = -18.1 kJ/mol of atoms
Magnetization = 0.00 μB per formula unit

This record from the Alexandria database describes Zr2ZnHg after structural relaxation. The functional is PBE.

Unit cell a=5.3325 b=5.3325 c=5.3975 alpha=99.08 beta=99.08 gamma=33.78
Last column: nearest neighbours and their distance in Å.
Atoms (fractional coordinates):
Zr 0.2485 0.2485 0.2378  6 Zr 3.00-3.22, 3 Zn 3.05-3.07, 3 Hg 3.10-3.13
Zr 0.7515 0.7515 0.7622  6 Zr 3.00-3.22, 3 Zn 3.05-3.07, 3 Hg 3.10-3.13
Zn 0.5000 0.5000 0.0000  6 Zr 3.05-3.07, 2 Zn 3.10, 4 Hg 3.11
Hg 0.0000 0.0000 0.5000  2 Hg 3.10, 6 Zr 3.10-3.13, 4 Zn 3.11

Energy above the lowest structure with this stoichiometry = 0.174 eV per atom
ΔE_f = -3.6 kJ/mol of atoms
Magnetization = 0.00 μB per formula unit

This record from the Alexandria database describes ZrZnHg2 after structural relaxation. The functional is PBE.

Unit cell a=3.0565 b=4.5202 c=6.0674 alpha=90.00 beta=100.53 gamma=90.00
Last column: nearest neighbours and their distance in Å.
Atoms (fractional coordinates):
Zr 0.0000 0.0000 0.0000  2 Zr 3.06, 8 Hg 3.10-3.14, 2 Zn 3.14
Zn 0.5000 0.0000 0.5000  4 Hg 2.76, 2 Zn 3.06
Hg 0.3945 0.5000 0.7457  2 Zn 2.76, 3 Hg 3.03-3.06
Hg 0.6055 0.5000 0.2543  2 Zn 2.76, 3 Hg 3.03-3.06

ΔE_f = -2.8 kJ/mol of atoms
Magnetization = 0.00 μB per formula unit

This record from the Alexandria database describes ZrZnHg3 after structural relaxation. The functional is PBE.

Unit cell a=4.9421 b=4.9421 c=4.9421 alpha=90.00 beta=90.00 gamma=90.00
Last column: nearest neighbours and their distance in Å.
Atoms (fractional coordinates):
Zr 0.0000 0.0000 0.0000  12 Hg 3.49
Zn 0.5000 0.5000 0.5000  6 Hg 2.47
Hg 0.0000 0.5000 0.5000  2 Zn 2.47
Hg 0.5000 0.0000 0.5000  2 Zn 2.47
Hg 0.5000 0.5000 0.0000  2 Zn 2.47

Energy above the lowest structure with this stoichiometry = 0.000 eV per atom
ΔE_f = 49.3 kJ/mol of atoms
Magnetization = 0.00 μB per formula unit

This record from the Alexandria database describes Zr2ZnHg after structural relaxation. The functional is PBE.

Unit cell a=9.5212 b=9.5212 c=9.5212 alpha=19.70 beta=19.70 gamma=19.70
Last column: nearest neighbours and their distance in Å.
Atoms (fractional coordinates):
Zr 0.2440 0.2440 0.2440  3 Zn 2.87, 3 Hg 3.13
Zr 0.7560 0.7560 0.7560  3 Zn 2.87, 3 Hg 3.13
Zn 0.5000 0.5000 0.5000  6 Zr 2.87
Hg 0.0000 0.0000 0.0000  6 Zr 3.13, 6 Hg 3.26

Energy above the lowest structure with this stoichiometry = 0.169 eV per atom
ΔE_f = -4.0 kJ/mol of atoms
Magnetization = 0.00 μB per formula unit

This record from the Alexandria database describes Zr2ZnHg after structural relaxation. The functional is PBE.

Unit cell a=6.2106 b=6.2106 c=6.2106 alpha=102.09 beta=102.09 gamma=125.54
Last column: nearest neighbours and their distance in Å.
Atoms (fractional coordinates):
Zr 0.1114 0.6250 0.9864  2 Zn 2.78, 2 Zr 2.85, 2 Hg 2.92
Zr 0.3750 0.3614 0.4864  2 Zn 2.78, 2 Zr 2.85, 2 Hg 2.92
Zr 0.6386 0.1250 0.0136  2 Zn 2.78, 2 Zr 2.85, 2 Hg 2.92
Zr 0.8750 0.8886 0.5136  2 Zn 2.78, 2 Zr 2.85, 2 Hg 2.92
Zn 0.0000 0.0000 0.0000  4 Zr 2.78, 2 Hg 2.84
Zn 0.7500 0.2500 0.5000  4 Zr 2.78, 2 Hg 2.84
Hg 0.2500 0.7500 0.5000  2 Zn 2.84, 4 Zr 2.92
Hg 0.5000 0.5000 0.0000  2 Zn 2.84, 4 Zr 2.92

Energy above the lowest structure with this stoichiometry = 0.365 eV per atom
ΔE_f = 14.9 kJ/mol of atoms
Magnetization = 0.00 μB per formula unit

This record from the Alexandria database describes ZrZnHg2 after structural relaxation. The functional is PBE.

Unit cell a=3.0703 b=4.6196 c=5.8797 alpha=90.00 beta=90.32 gamma=90.00
Last column: nearest neighbours and their distance in Å.
Atoms (fractional coordinates):
Zr 0.0000 0.0000 0.0000  2 Zr 3.07, 4 Zn 3.08, 6 Hg 3.10-3.17
Zn 0.4955 0.5000 0.7721  3 Hg 2.72-2.73
Hg 0.4968 0.0000 0.5283  2 Zn 2.72, 2 Hg 2.88
Hg 0.5045 0.5000 0.2362  1 Zn 2.73, 2 Hg 2.88

ΔE_f = -4.3 kJ/mol of atoms
Magnetization = 0.00 μB per formula unit

This record from the Alexandria database describes ZrZnHg2 after structural relaxation. The functional is PBE.

Unit cell a=6.1947 b=6.1947 c=6.1947 alpha=103.73 beta=103.73 gamma=121.68
Last column: nearest neighbours and their distance in Å.
Atoms (fractional coordinates):
Zr 0.0000 0.0000 0.0000  4 Hg 2.94, 2 Zn 3.02
Zr 0.7500 0.2500 0.5000  4 Hg 2.94, 2 Zn 3.02
Zn 0.2500 0.7500 0.5000  4 Hg 2.68
Zn 0.5000 0.5000 0.0000  4 Hg 2.68
Hg 0.1499 0.1250 0.5249  2 Zn 2.68, 2 Zr 2.94
Hg 0.3750 0.8501 0.9751  2 Zn 2.68, 2 Zr 2.94
Hg 0.6001 0.6250 0.4751  2 Zn 2.68, 2 Zr 2.94
Hg 0.8750 0.3999 0.0249  2 Zn 2.68, 2 Zr 2.94

ΔE_f = 11.3 kJ/mol of atoms
Magnetization = 0.00 μB per formula unit

This record from the Alexandria database describes Zr3Zn2Hg3 after structural relaxation. The functional is PBE.

Unit cell a=7.3507 b=7.3507 c=3.4702 alpha=90.00 beta=90.00 gamma=120.00
Last column: nearest neighbours and their distance in Å.
Atoms (fractional coordinates):
Zr 0.0000 0.5975 0.0000  4 Zn 2.83, 6 Hg 3.11-3.12
Zr 0.4025 0.4025 0.0000  4 Zn 2.83, 6 Hg 3.11-3.12
Zr 0.5975 0.0000 0.0000  4 Zn 2.83, 6 Hg 3.11-3.12
Zn 0.3333 0.6667 0.5000  3 Hg 2.83, 6 Zr 2.83
Zn 0.6667 0.3333 0.5000  3 Hg 2.83, 6 Zr 2.83
Hg 0.0000 0.2455 0.5000  2 Zn 2.83, 6 Zr 3.11-3.12, 2 Hg 3.13
Hg 0.2455 0.0000 0.5000  2 Zn 2.83, 6 Zr 3.11-3.12, 2 Hg 3.13
Hg 0.7545 0.7545 0.5000  2 Zn 2.83, 6 Zr 3.11-3.12, 2 Hg 3.13

ΔE_f = -14.9 kJ/mol of atoms
Magnetization = 0.00 μB per formula unit

This record from the Alexandria database describes Zr2Zn2Hg after structural relaxation. The functional is PBE.

Unit cell a=7.9704 b=7.9704 c=3.2827 alpha=90.00 beta=90.00 gamma=90.00
Last column: nearest neighbours and their distance in Å.
Atoms (fractional coordinates):
Zr 0.1480 0.3520 0.0000  6 Zn 2.82-2.88, 2 Hg 3.04
Zr 0.3520 0.8520 0.0000  6 Zn 2.82-2.88, 2 Hg 3.04
Zr 0.6480 0.1480 0.0000  6 Zn 2.82-2.88, 2 Hg 3.04
Zr 0.8520 0.6480 0.0000  6 Zn 2.82-2.88, 2 Hg 3.04
Zn 0.1488 0.6488 0.5000  6 Zr 2.82-2.88
Zn 0.3512 0.1488 0.5000  6 Zr 2.82-2.88
Zn 0.6488 0.8512 0.5000  6 Zr 2.82-2.88
Zn 0.8512 0.3512 0.5000  6 Zr 2.82-2.88
Hg 0.0000 0.0000 0.0000  4 Zr 3.04, 2 Hg 3.28
Hg 0.5000 0.5000 0.0000  4 Zr 3.04, 2 Hg 3.28

Energy above the lowest structure with this stoichiometry = 0.297 eV per atom
ΔE_f = 4.6 kJ/mol of atoms
Magnetization = 0.00 μB per formula unit

This record from the Alexandria database describes Zr4Zn5Hg after structural relaxation. The functional is PBE.

Unit cell a=7.7740 b=7.7740 c=5.7765 alpha=96.71 beta=96.71 gamma=32.56
Last column: nearest neighbours and their distance in Å.
Atoms (fractional coordinates):
Zr 0.1102 0.1102 0.2624  8 Zn 2.84-3.02, 2 Hg 3.14, 1 Zr 3.18
Zr 0.3112 0.3112 0.1342  7 Zn 2.73-3.02
Zr 0.6888 0.6888 0.8658  7 Zn 2.73-3.02
Zr 0.8898 0.8898 0.7376  8 Zn 2.84-3.02, 2 Hg 3.14, 1 Zr 3.18
Zn 0.0811 0.0811 0.7610  5 Zr 2.73-2.96, 2 Hg 2.84, 3 Zn 2.92
Zn 0.2634 0.2634 0.6277  3 Zn 2.63-2.92, 6 Zr 2.87-2.93
Zn 0.5000 0.5000 0.0000  2 Hg 2.89, 4 Zn 2.92, 6 Zr 3.01-3.02
Zn 0.7366 0.7366 0.3723  3 Zn 2.63-2.92, 6 Zr 2.87-2.93
Zn 0.9189 0.9189 0.2390  5 Zr 2.73-2.96, 2 Hg 2.84, 3 Zn 2.92
Hg 0.5000 0.5000 0.5000  6 Zn 2.84-2.89, 4 Zr 3.14

ΔE_f = -21.7 kJ/mol of atoms
Magnetization = 0.00 μB per formula unit

This record from the Alexandria database describes Zr3Zn2Hg4 after structural relaxation. The functional is PBE.

Unit cell a=5.6853 b=5.6853 c=8.6930 alpha=117.87 beta=117.87 gamma=48.88
Last column: nearest neighbours and their distance in Å.
Atoms (fractional coordinates):
Zr 0.0000 0.0000 0.0000  8 Hg 3.05-3.30, 4 Zn 3.15, 2 Zr 3.18
Zr 0.3358 0.3358 0.3332  8 Hg 3.07-3.22, 4 Zn 3.08-3.19, 2 Zr 3.14-3.18
Zr 0.6642 0.6642 0.6668  8 Hg 3.07-3.22, 4 Zn 3.08-3.19, 2 Zr 3.14-3.18
Zn 0.3922 0.3922 0.7207  3 Hg 2.65-2.67
Zn 0.6078 0.6078 0.2793  3 Hg 2.65-2.67
Hg 0.0695 0.0695 0.3947  2 Zn 2.67, 1 Hg 2.85
Hg 0.2943 0.2943 0.9483  1 Zn 2.65, 2 Hg 2.83
Hg 0.7057 0.7057 0.0517  1 Zn 2.65, 2 Hg 2.83
Hg 0.9305 0.9305 0.6053  2 Zn 2.67, 1 Hg 2.85

ΔE_f = -12.9 kJ/mol of atoms
Magnetization = 0.00 μB per formula unit

This record from the Alexandria database describes Zr3ZnHg after structural relaxation. The functional is PBE.

Unit cell a=7.4867 b=7.4867 c=8.9875 alpha=112.68 beta=112.68 gamma=76.32
Last column: nearest neighbours and their distance in Å.
Atoms (fractional coordinates):
Zr 0.0231 0.3435 0.5666  1 Zn 2.80, 4 Zr 2.92-3.11, 1 Hg 3.10
Zr 0.0370 0.7108 0.9017  1 Zn 2.72, 2 Hg 3.00-3.02, 1 Zr 3.03
Zr 0.2892 0.9630 0.5983  1 Zn 2.72, 2 Hg 3.00-3.02, 1 Zr 3.03
Zr 0.3092 0.3421 0.9171  2 Zn 2.90-2.93, 1 Hg 3.02, 4 Zr 3.03-3.14
Zr 0.3421 0.3092 0.4171  2 Zn 2.90-2.93, 1 Hg 3.02, 4 Zr 3.03-3.14
Zr 0.3435 0.0231 0.0666  1 Zn 2.80, 4 Zr 2.92-3.11, 1 Hg 3.10
Zr 0.6565 0.9769 0.9334  1 Zn 2.80, 4 Zr 2.92-3.11, 1 Hg 3.10
Zr 0.6579 0.6908 0.5829  2 Zn 2.90-2.93, 1 Hg 3.02, 4 Zr 3.03-3.14
Zr 0.6908 0.6579 0.0829  2 Zn 2.90-2.93, 1 Hg 3.02, 4 Zr 3.03-3.14
Zr 0.7108 0.0370 0.4017  1 Zn 2.72, 2 Hg 3.00-3.02, 1 Zr 3.03
Zr 0.9630 0.2892 0.0983  1 Zn 2.72, 2 Hg 3.00-3.02, 1 Zr 3.03
Zr 0.9769 0.6565 0.4334  1 Zn 2.80, 4 Zr 2.92-3.11, 1 Hg 3.10
Zn 0.2007 0.5744 0.2220  1 Zn 2.44, 1 Zr 2.72
Zn 0.4256 0.7993 0.2780  1 Zn 2.44, 1 Zr 2.72
Zn 0.5744 0.2007 0.7220  1 Zn 2.44, 1 Zr 2.72
Zn 0.7993 0.4256 0.7780  1 Zn 2.44, 1 Zr 2.72
Hg 0.0231 0.9769 0.2500  2 Zn 2.95, 6 Zr 3.00-3.10
Hg 0.3645 0.6355 0.7500  10 Zr 3.02-3.27, 2 Zn 3.22
Hg 0.6355 0.3645 0.2500  10 Zr 3.02-3.27, 2 Zn 3.22
Hg 0.9769 0.0231 0.7500  2 Zn 2.95, 6 Zr 3.00-3.10

Energy above the lowest structure with this stoichiometry = 0.000 eV per atom
ΔE_f = -2.6 kJ/mol of atoms
Magnetization = 0.00 μB per formula unit

This record from the Alexandria database describes ZrZnHg2 after structural relaxation. The functional is PBE.

Unit cell a=5.3188 b=5.3188 c=5.3188 alpha=131.55 beta=131.55 gamma=70.95
Last column: nearest neighbours and their distance in Å.
Atoms (fractional coordinates):
Zr 0.0000 0.0000 0.0000  8 Hg 3.07-3.09, 4 Zn 3.07
Zn 0.7500 0.2500 0.5000  8 Hg 3.07-3.09, 4 Zr 3.07
Hg 0.2500 0.7500 0.5000  4 Hg 3.07, 4 Zr 3.07, 4 Zn 3.09
Hg 0.5000 0.5000 0.0000  4 Hg 3.07, 4 Zn 3.07, 4 Zr 3.09

ΔE_f = 4.1 kJ/mol of atoms
Magnetization = 0.00 μB per formula unit

This record from the Alexandria database describes Zr2ZnHg after structural relaxation. The functional is PBE.

Unit cell a=3.1898 b=3.1898 c=7.9262 alpha=90.00 beta=90.00 gamma=90.00
Last column: nearest neighbours and their distance in Å.
Atoms (fractional coordinates):
Zr 0.0000 0.0000 0.2325  4 Zn 2.91, 4 Hg 3.10, 4 Zr 3.19
Zr 0.0000 0.0000 0.7675  4 Zn 2.91, 4 Hg 3.10, 4 Zr 3.19
Zn 0.5000 0.5000 0.0000  8 Zr 2.91, 4 Zn 3.19
Hg 0.5000 0.5000 0.5000  8 Zr 3.10, 4 Hg 3.19

Energy above the lowest structure with this stoichiometry = 0.000 eV per atom
ΔE_f = -20.3 kJ/mol of atoms
Magnetization = 0.00 μB per formula unit

This record from the Alexandria database describes Zr3ZnHg3 after structural relaxation. The functional is PBE.

Unit cell a=6.7148 b=6.7148 c=6.9115 alpha=90.71 beta=90.71 gamma=87.26
Last column: nearest neighbours and their distance in Å.
Atoms (fractional coordinates):
Zr 0.0021 0.0021 0.2277  2 Zn 2.87-3.13, 3 Hg 3.09-3.10, 3 Zr 3.15-3.22
Zr 0.0190 0.4800 0.2345  2 Zn 2.84-2.86, 6 Hg 2.97-3.08
Zr 0.4800 0.0190 0.2345  2 Zn 2.84-2.86, 6 Hg 2.97-3.08
Zr 0.5200 0.9810 0.7655  2 Zn 2.84-2.86, 6 Hg 2.97-3.08
Zr 0.9810 0.5200 0.7655  2 Zn 2.84-2.86, 6 Hg 2.97-3.08
Zr 0.9979 0.9979 0.7723  2 Zn 2.87-3.13, 3 Hg 3.09-3.10, 3 Zr 3.15-3.22
Zn 0.2620 0.2620 0.9656  6 Zr 2.84-3.13, 3 Hg 2.87-2.98
Zn 0.7380 0.7380 0.0344  6 Zr 2.84-3.13, 3 Hg 2.87-2.98
Hg 0.2640 0.2640 0.5340  6 Zr 2.97-3.28, 1 Zn 2.98, 2 Hg 3.17
Hg 0.2653 0.7347 0.5000  6 Zr 3.02-3.10, 2 Hg 3.17
Hg 0.3179 0.6821 0.0000  2 Zn 2.87, 4 Zr 2.98-3.01
Hg 0.6821 0.3179 0.0000  2 Zn 2.87, 4 Zr 2.98-3.01
Hg 0.7347 0.2653 0.5000  6 Zr 3.02-3.10, 2 Hg 3.17
Hg 0.7360 0.7360 0.4660  6 Zr 2.97-3.28, 1 Zn 2.98, 2 Hg 3.17

ΔE_f = -4.5 kJ/mol of atoms
Magnetization = 0.00 μB per formula unit

This record from the Alexandria database describes ZrZnHg2 after structural relaxation. The functional is PBE.

Unit cell a=9.7374 b=9.7374 c=9.7374 alpha=18.88 beta=18.88 gamma=18.88
Last column: nearest neighbours and their distance in Å.
Atoms (fractional coordinates):
Zr 0.0000 0.0000 0.0000  6 Hg 3.11-3.12, 6 Zr 3.19
Zn 0.1668 0.1668 0.1668  6 Hg 2.92-2.93, 6 Zn 3.19
Hg 0.5791 0.5791 0.5791  3 Zn 2.92, 3 Zr 3.12, 6 Hg 3.19
Hg 0.7542 0.7542 0.7542  3 Zn 2.93, 3 Zr 3.11, 6 Hg 3.19

ΔE_f = 4.4 kJ/mol of atoms
Magnetization = 0.00 μB per formula unit

This record from the Alexandria database describes ZrZn2Hg2 after structural relaxation. The functional is PBE.

Unit cell a=6.9004 b=6.9004 c=6.9004 alpha=146.32 beta=146.32 gamma=48.37
Last column: nearest neighbours and their distance in Å.
Atoms (fractional coordinates):
Zr 0.0000 0.0000 0.0000  8 Hg 3.14
Zn 0.2500 0.7500 0.5000  4 Hg 2.67, 4 Zn 2.83
Zn 0.7500 0.2500 0.5000  4 Hg 2.67, 4 Zn 2.83
Hg 0.3911 0.3911 0.0000  4 Zn 2.67, 1 Hg 2.74
Hg 0.6089 0.6089 0.0000  4 Zn 2.67, 1 Hg 2.74

Energy above the lowest structure with this stoichiometry = 0.068 eV per atom
ΔE_f = 10.7 kJ/mol of atoms
Magnetization = 0.00 μB per formula unit

This record from the Alexandria database describes ZrZnHg2 after structural relaxation. The functional is PBE.

Unit cell a=3.2103 b=3.2103 c=7.8461 alpha=90.00 beta=90.00 gamma=90.00
Last column: nearest neighbours and their distance in Å.
Atoms (fractional coordinates):
Zr 0.0000 0.0000 0.0000  8 Hg 3.08, 4 Zr 3.21
Zn 0.0000 0.0000 0.5000  8 Hg 2.92, 4 Zn 3.21
Hg 0.5000 0.5000 0.2655  4 Zn 2.92, 4 Zr 3.08, 4 Hg 3.21
Hg 0.5000 0.5000 0.7345  4 Zn 2.92, 4 Zr 3.08, 4 Hg 3.21

ΔE_f = -5.3 kJ/mol of atoms
Magnetization = 0.00 μB per formula unit